Density functional theory data (PBE) for an optimized crystal structure of La3NbAl2O9.

abc: 5.4377 5.4377 7.0446
angles: 90.00 90.00 120.00
With the nearest neighbours (Å) after each atom.
Sites, in units of the cell vectors:
La: 0.0000 0.0000 0.0000  12 O 2.71-2.72
La: 0.3333 0.6667 0.6934  9 O 2.67-2.72
La: 0.6667 0.3333 0.3066  9 O 2.67-2.72
Nb: 0.0000 0.0000 0.5000  6 O 2.08
Al: 0.3333 0.6667 0.1584  6 O 1.88-1.93
Al: 0.6667 0.3333 0.8416  6 O 1.88-1.93
O: 0.0000 0.5000 0.0000  2 Al 1.93
O: 0.1695 0.3390 0.3102  1 Al 1.88, 1 Nb 2.08
O: 0.1695 0.8305 0.3102  1 Al 1.88, 1 Nb 2.08
O: 0.3390 0.1695 0.6898  1 Al 1.88, 1 Nb 2.08
O: 0.5000 0.0000 0.0000  2 Al 1.93
O: 0.5000 0.5000 0.0000  2 Al 1.93
O: 0.6610 0.8305 0.3102  1 Al 1.88, 1 Nb 2.08
O: 0.8305 0.1695 0.6898  1 Al 1.88, 1 Nb 2.08
O: 0.8305 0.6610 0.6898  1 Al 1.88, 1 Nb 2.08

Computed properties:
Uncorrected formation energy = -3.038 eV/atom
Symmetry = P-3m1
VASP energy = -8.168 eV per atom
Calculated density = 6.5 g/cm³

=====

Density functional theory data (PBE) for an optimized crystal structure of YW2Au.

abc: 5.6620 9.4695 2.8139
angles: 90.00 90.00 90.00
With the nearest neighbours (Å) after each atom.
Sites, in units of the cell vectors:
Y: 0.0000 0.0000 0.0000  2 Y 2.81, 2 Au 2.83, 8 W 3.10
Y: 0.5000 0.5000 0.0000  2 Y 2.81, 2 Au 2.83, 8 W 3.10
W: 0.2500 0.2500 0.5000  4 W 2.81-2.83, 4 Y 3.10, 4 Au 3.10
W: 0.2500 0.7500 0.5000  4 W 2.81-2.83, 4 Y 3.10, 4 Au 3.10
W: 0.7500 0.2500 0.5000  4 W 2.81-2.83, 4 Y 3.10, 4 Au 3.10
W: 0.7500 0.7500 0.5000  4 W 2.81-2.83, 4 Y 3.10, 4 Au 3.10
Au: 0.0000 0.5000 0.0000  2 Au 2.81, 2 Y 2.83, 8 W 3.10
Au: 0.5000 0.0000 0.0000  2 Au 2.81, 2 Y 2.83, 8 W 3.10

Computed properties:
Offset from the most stable computed form = 449 meV/atom
Symmetry = Cmmm
VASP energy = -8.324 eV per atom
Formation enthalpy at 0 K = 0.587 eV/atom
Calculated density = 14.4 g/cm³

=====

Density functional theory data (PBE) for an optimized crystal structure of Cs3Br2.

abc: 10.2380 10.2380 10.2380
angles: 51.95 51.95 51.95
With the nearest neighbours (Å) after each atom.
Sites, in units of the cell vectors:
Cs: 0.0761 0.7500 0.4239  4 Br 3.69-3.72
Cs: 0.2500 0.5761 0.9239  4 Br 3.69-3.72
Cs: 0.4239 0.0761 0.7500  4 Br 3.69-3.72
Cs: 0.5761 0.9239 0.2500  4 Br 3.69-3.72
Cs: 0.7500 0.4239 0.0761  4 Br 3.69-3.72
Cs: 0.9239 0.2500 0.5761  4 Br 3.69-3.72
Br: 0.1632 0.1632 0.1632  6 Cs 3.69-3.72
Br: 0.3368 0.3368 0.3368  6 Cs 3.69-3.72
Br: 0.6632 0.6632 0.6632  6 Cs 3.69-3.72
Br: 0.8368 0.8368 0.8368  6 Cs 3.69-3.72

Computed properties:
Uncorrected formation energy = -1.364 eV/atom
Symmetry = R-3c
VASP energy = -2.545 eV per atom
Calculated density = 3.0 g/cm³

=====

Density functional theory data (PBE) for an optimized crystal structure of U2Si4Ir3.

abc: 7.5032 7.5032 7.2747
angles: 90.00 90.00 135.05
With the nearest neighbours (Å) after each atom.
Sites, in units of the cell vectors:
U: 0.0835 0.9165 0.9173  1 U 2.61, 4 Si 2.82
U: 0.4165 0.5835 0.4173  1 U 2.61, 4 Si 2.82
U: 0.5835 0.4165 0.5827  1 U 2.61, 4 Si 2.82
U: 0.9165 0.0835 0.0827  1 U 2.61, 4 Si 2.82
Si: 0.1796 0.8204 0.5189  5 Ir 2.47-2.57
Si: 0.1819 0.3181 0.7500  3 Ir 2.40-2.50
Si: 0.3181 0.1819 0.2500  3 Ir 2.40-2.50
Si: 0.3204 0.6796 0.0189  5 Ir 2.47-2.57
Si: 0.6796 0.3204 0.9811  5 Ir 2.47-2.57
Si: 0.6819 0.8181 0.7500  3 Ir 2.40-2.50
Si: 0.8181 0.6819 0.2500  3 Ir 2.40-2.50
Si: 0.8204 0.1796 0.4811  5 Ir 2.47-2.57
Ir: 0.0000 0.0000 0.5000  6 Si 2.49-2.50
Ir: 0.0090 0.4910 0.7500  5 Si 2.40-2.57
Ir: 0.4910 0.0090 0.2500  5 Si 2.40-2.57
Ir: 0.5000 0.5000 0.0000  6 Si 2.49-2.50
Ir: 0.5090 0.9910 0.7500  5 Si 2.40-2.57
Ir: 0.9910 0.5090 0.2500  5 Si 2.40-2.57

Computed properties:
Uncorrected formation energy = -0.721 eV/atom
Symmetry = Cmce
VASP energy = -8.593 eV per atom
Calculated density = 13.4 g/cm³

=====

Density functional theory data (PBE) for an optimized crystal structure of ZrVP.

abc: 7.7391 7.7391 7.3097
angles: 90.34 90.34 28.96
With the nearest neighbours (Å) after each atom.
Sites, in units of the cell vectors:
Zr: 0.0551 0.0551 0.3073  2 P 2.45-2.58
Zr: 0.4043 0.4043 0.1087  4 P 2.64-2.76
Zr: 0.5957 0.5957 0.8913  4 P 2.64-2.76
Zr: 0.9449 0.9449 0.6927  2 P 2.45-2.58
V: 0.2603 0.2603 0.8088  4 P 2.32-2.40, 2 V 2.49
V: 0.2609 0.2609 0.4017  4 V 2.43-2.49, 4 P 2.59-2.69
V: 0.7391 0.7391 0.5983  4 V 2.43-2.49, 4 P 2.59-2.69
V: 0.7397 0.7397 0.1912  4 P 2.32-2.40, 2 V 2.49
P: 0.1257 0.1257 0.6301  4 V 2.40-2.63, 1 Zr 2.58
P: 0.1738 0.1738 0.0784  3 V 2.32-2.37, 1 Zr 2.45
P: 0.8262 0.8262 0.9216  3 V 2.32-2.37, 1 Zr 2.45
P: 0.8743 0.8743 0.3699  4 V 2.40-2.63, 1 Zr 2.58

Computed properties:
Offset from the most stable computed form = 497 meV/atom
Symmetry = C2/m
VASP energy = -8.301 eV per atom
Formation enthalpy at 0 K = -0.609 eV/atom
Calculated density = 5.4 g/cm³

=====

Density functional theory data (PBE) for an optimized crystal structure of Ti4Pd4Au3.

abc: 16.1524 16.1524 16.1524
angles: 168.09 168.09 16.88
With the nearest neighbours (Å) after each atom.
Sites, in units of the cell vectors:
Ti: 0.0506 0.0506 0.0000  4 Pd 2.67, 5 Au 2.83-2.87
Ti: 0.3144 0.3144 0.0000  5 Pd 2.70-2.82, 4 Au 2.80
Ti: 0.6856 0.6856 0.0000  5 Pd 2.70-2.82, 4 Au 2.80
Ti: 0.9494 0.9494 0.0000  4 Pd 2.67, 5 Au 2.83-2.87
Pd: 0.2260 0.2260 0.0000  5 Ti 2.70-2.82, 1 Au 2.77, 4 Pd 2.82
Pd: 0.4110 0.4110 0.0000  4 Ti 2.67, 5 Au 2.84-2.86
Pd: 0.5890 0.5890 0.0000  4 Ti 2.67, 5 Au 2.84-2.86
Pd: 0.7740 0.7740 0.0000  5 Ti 2.70-2.82, 1 Au 2.77, 4 Pd 2.82
Au: 0.1392 0.1392 0.0000  5 Pd 2.77-2.86, 5 Ti 2.80-2.83
Au: 0.5000 0.5000 0.0000  2 Pd 2.84, 8 Ti 2.87
Au: 0.8608 0.8608 0.0000  5 Pd 2.77-2.86, 5 Ti 2.80-2.83

Computed properties:
Offset from the most stable computed form = 0 meV/atom
Symmetry = I4/mmm
VASP energy = -6.214 eV per atom
Formation enthalpy at 0 K = -0.561 eV/atom
Calculated density = 11.2 g/cm³

=====

Density functional theory data (PBE) for an optimized crystal structure of Cd2AgHg.

abc: 3.1263 3.1263 8.8319
angles: 90.00 90.00 90.00
With the nearest neighbours (Å) after each atom.
Sites, in units of the cell vectors:
Cd: 0.0000 0.0000 0.2268  4 Ag 2.98, 4 Cd 3.13, 4 Hg 3.27
Cd: 0.0000 0.0000 0.7732  4 Ag 2.98, 4 Cd 3.13, 4 Hg 3.27
Ag: 0.5000 0.5000 0.0000  8 Cd 2.98, 4 Ag 3.13
Hg: 0.5000 0.5000 0.5000  4 Hg 3.13, 8 Cd 3.27

Computed properties:
Symmetry = P4/mmm
VASP energy = -1.227 eV per atom
Formation enthalpy at 0 K = 0.019 eV/atom
Calculated density = 10.3 g/cm³

=====

Density functional theory data (PBE) for an optimized crystal structure of Nd6SmEr2Th.

abc: 8.8750 8.8750 9.7679
angles: 94.18 94.18 115.98
With the nearest neighbours (Å) after each atom.
Sites, in units of the cell vectors:
Nd: 0.0126 0.5751 0.1859  1 Nd 3.33, 1 Th 3.43, 1 Sm 3.47, 1 Er 3.48
Nd: 0.1071 0.7601 0.5584  7 Nd 3.47-3.86, 2 Er 3.50-3.78, 2 Th 3.62-3.82
Nd: 0.2399 0.8929 0.9416  7 Nd 3.47-3.86, 2 Er 3.50-3.78, 2 Th 3.62-3.82
Nd: 0.2989 0.5130 0.3811  3 Nd 3.31-3.47, 3 Er 3.33-3.49, 2 Sm 3.45-3.60
Nd: 0.4249 0.9874 0.3141  1 Nd 3.33, 1 Th 3.43, 1 Sm 3.47, 1 Er 3.48
Nd: 0.4870 0.7011 0.1189  3 Nd 3.31-3.47, 3 Er 3.33-3.49, 2 Sm 3.45-3.60
Nd: 0.5130 0.2989 0.8811  3 Nd 3.31-3.47, 3 Er 3.33-3.49, 2 Sm 3.45-3.60
Nd: 0.5751 0.0126 0.6859  1 Nd 3.33, 1 Th 3.43, 1 Sm 3.47, 1 Er 3.48
Nd: 0.7011 0.4870 0.6189  3 Nd 3.31-3.47, 3 Er 3.33-3.49, 2 Sm 3.45-3.60
Nd: 0.7601 0.1071 0.0584  7 Nd 3.47-3.86, 2 Er 3.50-3.78, 2 Th 3.62-3.82
Nd: 0.8929 0.2399 0.4416  7 Nd 3.47-3.86, 2 Er 3.50-3.78, 2 Th 3.62-3.82
Nd: 0.9874 0.4249 0.8141  1 Nd 3.33, 1 Th 3.43, 1 Sm 3.47, 1 Er 3.48
Sm: 0.4061 0.5939 0.7500  6 Nd 3.45-3.60, 2 Er 3.56
Sm: 0.5939 0.4061 0.2500  6 Nd 3.45-3.60, 2 Er 3.56
Er: 0.1980 0.2883 0.0517  5 Nd 3.33-3.50, 2 Th 3.40-3.48, 1 Sm 3.56
Er: 0.2883 0.1980 0.5517  5 Nd 3.33-3.50, 2 Th 3.40-3.48, 1 Sm 3.56
Er: 0.7117 0.8020 0.4483  5 Nd 3.33-3.50, 2 Th 3.40-3.48, 1 Sm 3.56
Er: 0.8020 0.7117 0.9483  5 Nd 3.33-3.50, 2 Th 3.40-3.48, 1 Sm 3.56
Th: 0.0314 0.9686 0.2500  4 Er 3.40-3.48, 4 Nd 3.43-3.62
Th: 0.9686 0.0314 0.7500  4 Er 3.40-3.48, 4 Nd 3.43-3.62

Computed properties:
Symmetry = C2/c
VASP energy = -4.846 eV per atom
Formation enthalpy at 0 K = 0.141 eV/atom
Calculated density = 7.7 g/cm³

=====

Density functional theory data (PBE) for an optimized crystal structure of Fe4TcBr.

abc: 4.9194 4.9194 4.9194
angles: 60.00 60.00 60.00
With the nearest neighbours (Å) after each atom.
Sites, in units of the cell vectors:
Fe: 0.1241 0.1241 0.1241  6 Fe 2.44-2.48
Fe: 0.1241 0.1241 0.6277  6 Fe 2.44-2.48
Fe: 0.1241 0.6277 0.1241  6 Fe 2.44-2.48
Fe: 0.6277 0.1241 0.1241  6 Fe 2.44-2.48
Tc: 0.7500 0.7500 0.7500  12 Fe 2.88, 4 Br 3.01
Br: 0.5000 0.5000 0.5000  12 Fe 2.89, 4 Tc 3.01

Computed properties:
Uncorrected formation energy = 0.725 eV/atom
Symmetry = F-43m
VASP energy = -6.923 eV per atom
Calculated density = 7.9 g/cm³

=====

Density functional theory data (PBE) for an optimized crystal structure of Pr2AgPd4.

abc: 5.2621 5.2981 7.2003
angles: 70.22 81.64 62.14
With the nearest neighbours (Å) after each atom.
Sites, in units of the cell vectors:
Pr: 0.0015 0.3504 0.2792  8 Pd 2.99-3.34, 1 Ag 3.29
Pr: 0.9985 0.6496 0.7208  8 Pd 2.99-3.34, 1 Ag 3.29
Ag: 0.5000 0.0000 0.0000  6 Pd 2.63-2.83
Pd: 0.0000 0.0000 0.0000  2 Ag 2.63, 4 Pd 2.72-2.74
Pd: 0.3204 0.6686 0.3429  3 Pd 2.69-2.79, 1 Ag 2.83, 1 Pr 2.99
Pd: 0.5000 0.5000 0.0000  2 Ag 2.65, 4 Pd 2.72-2.79
Pd: 0.6796 0.3314 0.6571  3 Pd 2.69-2.79, 1 Ag 2.83, 1 Pr 2.99

Computed properties:
Symmetry = P-1
VASP energy = -5.211 eV per atom
Formation enthalpy at 0 K = -0.470 eV/atom
Calculated density = 8.1 g/cm³

=====

Density functional theory data (PBE) for an optimized crystal structure of Pm4ScBi5.

abc: 7.8313 7.8313 7.8313
angles: 99.67 99.67 131.61
With the nearest neighbours (Å) after each atom.
Sites, in units of the cell vectors:
Pm: 0.0952 0.3014 0.3966  6 Bi 3.19-3.26
Pm: 0.3014 0.9048 0.2063  6 Bi 3.19-3.26
Pm: 0.6986 0.0952 0.7937  6 Bi 3.19-3.26
Pm: 0.9048 0.6986 0.6034  6 Bi 3.19-3.26
Sc: 0.5000 0.5000 0.0000  6 Bi 3.08-3.21
Bi: 0.0000 0.0000 0.0000  4 Pm 3.19, 2 Sc 3.21
Bi: 0.2114 0.5979 0.8093  1 Sc 3.08, 5 Pm 3.21-3.26
Bi: 0.4021 0.2114 0.6136  1 Sc 3.08, 5 Pm 3.21-3.26
Bi: 0.5979 0.7886 0.3864  1 Sc 3.08, 5 Pm 3.21-3.26
Bi: 0.7886 0.4021 0.1907  1 Sc 3.08, 5 Pm 3.21-3.26

Computed properties:
Offset from the most stable computed form = 0 meV/atom
Symmetry = I4/m
VASP energy = -5.338 eV per atom
Formation enthalpy at 0 K = -0.864 eV/atom
Calculated density = 8.5 g/cm³

=====

Density functional theory data (PBE) for an optimized crystal structure of ZrTlP2.

abc: 9.2732 3.2647 5.8589
angles: 90.00 96.75 90.00
With the nearest neighbours (Å) after each atom.
Sites, in units of the cell vectors:
Zr: 0.0000 0.0000 0.0000  6 P 2.71-2.72
Zr: 0.5000 0.5000 0.0000  6 P 2.71-2.72
Tl: 0.0000 0.5000 0.5000  6 P 3.20-3.51, 2 Tl 3.26, 4 Zr 3.35
Tl: 0.5000 0.0000 0.5000  6 P 3.20-3.51, 2 Tl 3.26, 4 Zr 3.35
P: 0.2297 0.5000 0.1322  2 P 2.31
P: 0.2703 0.0000 0.8678  2 P 2.31
P: 0.7297 0.0000 0.1322  2 P 2.31
P: 0.7703 0.5000 0.8678  2 P 2.31

Computed properties:
Offset from the most stable computed form = 217 meV/atom
Symmetry = C2/m
VASP energy = -5.728 eV per atom
Formation enthalpy at 0 K = -0.295 eV/atom
Calculated density = 6.7 g/cm³